This record from Alexandria via LeMat-Bulk describes an optimized crystal structure of CrIn2Se. The functional is PBE.

Lattice parameters (Å, degrees): 5.0419 5.0419 5.0419 60.00 60.00 60.00
Last column: nearest neighbours and their distance in Å.
Positions (direct):
Cr1 0.5000 0.5000 0.5000  4 Se 3.09, 4 In 3.09
In1 0.0000 0.0000 0.0000  4 In 3.09, 4 Se 3.09
In2 0.7500 0.7500 0.7500  4 Cr 3.09, 4 In 3.09
Se1 0.2500 0.2500 0.2500  4 In 3.09, 4 Cr 3.09

Results
ρ: 6.61 g/cm³
ΔE_f (raw): 0.28 eV/atom
space-group type: F-43m
magnetization: 3.97 μB/f.u.
VASP energy: -4.364 eV/atom
crystal system: cubic



This record from Alexandria via LeMat-Bulk describes an optimized crystal structure of CrIn2Se. The functional is PBE.

Lattice parameters (Å, degrees): 7.9042 7.9042 3.7689 76.42 76.42 25.40
Last column: nearest neighbours and their distance in Å.
Positions (direct):
Cr1 0.2500 0.2500 0.2500  4 Se 2.56
In1 0.9298 0.9298 0.0683  2 Cr 3.20, 2 Se 3.28-3.30, 6 In 3.31-3.48
In2 0.5702 0.5702 0.4317  2 Cr 3.20, 2 Se 3.28-3.30, 6 In 3.31-3.48
Se1 0.7500 0.7500 0.7500  4 Cr 2.56

Results
ρ: 6.11 g/cm³
ΔE_f (raw): 0.03 eV/atom
space-group type: C2/m
magnetization: 3.78 μB/f.u.
VASP energy: -4.619 eV/atom
crystal system: monoclinic



This record from Alexandria via LeMat-Bulk describes an optimized crystal structure of CrIn3Se. The functional is PBE.

Lattice parameters (Å, degrees): 5.2678 5.2678 5.2678 90.00 90.00 90.00
Last column: nearest neighbours and their distance in Å.
Positions (direct):
Cr1 0.0000 0.0000 0.0000  6 In 2.63
Se1 0.5000 0.5000 0.5000  12 In 3.72
In1 0.0000 0.5000 0.0000  2 Cr 2.63
In2 0.0000 0.0000 0.5000  2 Cr 2.63
In3 0.5000 0.0000 0.0000  2 Cr 2.63

Results
ρ: 5.40 g/cm³
ΔE_f (raw): 0.38 eV/atom
space-group type: Pm-3m
magnetization: 4.94 μB/f.u.
VASP energy: -3.883 eV/atom
crystal system: cubic



Number 1: N(E_F) 2.77 states/eV/cell. Number 2: N(E_F) 2.68 states/eV/cell. Number 3: N(E_F) 1.20 states/eV/cell.